i.
{"formula": "TaBrN2F", "functional": "PBE", "state": "relaxed", "crystal_system": "tetragonal", "lattice_angstrom": [[4.1299, 0.0000, 0.0000], [0.0000, 4.1299, 0.0000], [0.0000, 0.0000, 4.1215]], "species": ["Ta", "Br", "N", "N", "F"], "fractional_positions": [[0.0000, 0.0000, 0.0000], [0.5000, 0.5000, 0.5000], [0.0000, 0.5000, 0.0000], [0.5000, 0.0000, 0.0000], [0.0000, 0.0000, 0.5000]]}


ii.
{"formula": "TaBrN2F", "functional": "PBE", "state": "relaxed", "crystal_system": "tetragonal", "lattice_angstrom": [[4.1685, 0.0000, 0.0000], [0.0000, 4.1685, 0.0000], [0.0000, 0.0000, 3.8925]], "species": ["Ta", "Br", "N", "N", "F"], "fractional_positions": [[0.0000, 0.0000, 0.0000], [0.5000, 0.5000, 0.5000], [0.0000, 0.5000, 0.5000], [0.5000, 0.0000, 0.5000], [0.5000, 0.5000, 0.0000]]}


Energy above the most stable structure, in meV per atom: i 0; ii 2044